1.
## CsZrCr2Ga (GGA-PBE)

Data for CsZrCr2Ga after structural relaxation.

abc: 4.9699 5.8244 4.9699
angles: 90.00 90.00 90.00
Last column: magnetic moment on the atom in μB.
Atoms (fractional coordinates):
Ga  0.0000  0.0000  0.0000  -0.06
Cr  0.0000  0.0000  0.5000  3.67
Cr  0.5000  0.0000  0.0000  3.48
Cs  0.0000  0.5000  0.0000  -0.08
Zr  0.5000  0.5000  0.5000  -1.49

Computed properties:
formation energy	1.58	eV/atom

***

2.
## RbNa3InHg (GGA-PBE)

Data for RbNa3InHg after structural relaxation.

abc: 6.8819 8.6475 9.0191
angles: 118.65 90.00 90.00
Atoms (fractional coordinates):
Hg  0.2500  0.3593  0.7186
Hg  0.7500  0.6407  0.2814
Na  0.5000  0.3045  0.0000
Na  0.0000  0.3045  0.0000
Na  0.2500  0.1555  0.3110
Na  0.5000  0.6955  0.0000
Na  0.0000  0.6955  0.0000
Na  0.7500  0.8445  0.6890
In  0.7500  0.0405  0.0811
In  0.2500  0.9595  0.9189
Rb  0.7500  0.2747  0.5493
Rb  0.2500  0.7253  0.4507

Computed properties:
formation energy	-0.04	eV/atom